Record 1
Th6IrSe3S2: relaxed, PBE-GGA.

```
Th6IrSe3S2
1.0
4.056 0.000 0.000
0.000 8.531 0.140
-2.028 -2.629 8.862
S Th Se Ir
2 6 3 1
direct
0.832 0.664 0.664 S
0.168 0.336 0.336 S
0.665 0.097 0.330 Th
0.335 0.903 0.670 Th
0.995 0.767 0.990 Th
0.005 0.233 0.010 Th
0.671 0.574 0.342 Th
0.329 0.426 0.658 Th
0.165 0.834 0.330 Se
0.835 0.166 0.670 Se
0.500 0.500 0.000 Se
0.500 0.000 0.000 Ir
```

The crystal system is monoclinic. As for the total energy: -7.563 eV/atom.

***

Record 2
SrYRe: relaxed, PBE-GGA.

```
SrYRe
1.0
4.964 0.000 0.000
2.482 4.299 0.000
2.482 1.433 4.053
Y Sr Re
1 1 1
direct
0.500 0.500 0.500 Y
0.000 0.000 0.000 Sr
0.250 0.250 0.250 Re
```

The value obtained for the energy above the lowest structure with this stoichiometry is 0.322 eV/atom. The crystal system is cubic. For the formation energy, the calculation gives 2.78 eV/f.u. As for the total energy: -5.939 eV/atom.

***

Record 3
Pr3VN4: relaxed, PBE-GGA.

```
Pr3VN4
1.0
-4.496 -2.690 1.107
1.950 -5.040 -4.330
3.588 -3.605 5.812
N Pr V
8 6 2
direct
0.160 0.826 0.500 N
0.569 0.700 0.707 N
0.660 0.174 0.000 N
0.569 0.700 0.293 N
0.069 0.300 0.207 N
0.058 0.895 0.000 N
0.558 0.105 0.500 N
0.069 0.300 0.793 N
0.055 0.662 0.754 Pr
0.550 0.852 0.000 Pr
0.050 0.148 0.500 Pr
0.055 0.662 0.246 Pr
0.555 0.338 0.254 Pr
0.555 0.338 0.746 Pr
0.500 0.831 0.500 V
0.000 0.169 0.000 V
```

The crystal system is orthorhombic. As for the total energy: -8.208 eV/atom.

***

Record 4
Tl3Sn2Au2: relaxed, PBE-GGA.

```
Tl3Sn2Au2
1.0
3.931 -0.013 0.049
1.959 5.894 2.188
0.092 0.460 8.343
Sn Tl Au
2 3 2
direct
0.854 0.294 0.183 Sn
0.146 0.706 0.817 Sn
0.612 0.772 0.431 Tl
0.500 0.000 0.000 Tl
0.388 0.228 0.569 Tl
0.195 0.610 0.193 Au
0.805 0.390 0.807 Au
```

The crystal system is triclinic. For the formation energy, the calculation gives -0.18 eV/f.u. As for the total energy: -3.120 eV/atom.